[1]
This record from OQMD via LeMat-Bulk describes a relaxed NdGdInCo2 crystal. The functional is PBE.

abc: 4.002 3.852 14.068
angles: 90.00 90.00 90.00
Element x y z (fractional)
1 Nd 0.000 0.000 0.000
2 Nd 0.000 0.500 0.500
3 Gd 0.000 0.000 0.276
4 Gd 0.000 0.500 0.776
5 In 0.500 0.000 0.641
6 In 0.500 0.500 0.141
7 Co 0.500 0.000 0.426
8 Co 0.500 0.000 0.842
9 Co 0.500 0.500 0.342
10 Co 0.500 0.500 0.926

Computed properties:
Density   8.2 g/cm3
V   216.9 Å³ per cell
Symmetry   Amm2
Total energy   -5.552 eV per atom



[2]
This record from OQMD via LeMat-Bulk describes a relaxed NdGd2In3Co3 crystal. The functional is PBE.

abc: 3.879 7.438 7.438
angles: 119.79 90.00 90.00
Element x y z (fractional)
1 Nd 0.000 0.000 0.000
2 Gd 0.000 0.176 0.587
3 Gd 0.000 0.587 0.176
4 In 0.500 0.340 0.340
5 In 0.500 0.584 0.838
6 In 0.500 0.838 0.584
7 Co 0.000 0.586 0.586
8 Co 0.500 0.256 0.920
9 Co 0.500 0.920 0.256

Computed properties:
Density   8.7 g/cm3
V   186.2 Å³ per cell
Symmetry   Amm2
Total energy   -5.113 eV per atom



[3]
This record from OQMD via LeMat-Bulk describes a relaxed PrGd2In3Co3 crystal. The functional is PBE.

abc: 3.919 7.426 7.426
angles: 119.75 90.00 90.00
Element x y z (fractional)
1 Pr 0.000 0.000 0.000
2 Gd 0.000 0.176 0.586
3 Gd 0.000 0.586 0.176
4 In 0.500 0.340 0.340
5 In 0.500 0.582 0.837
6 In 0.500 0.837 0.582
7 Co 0.000 0.585 0.585
8 Co 0.500 0.256 0.919
9 Co 0.500 0.919 0.256

Computed properties:
Density   8.6 g/cm3
V   187.6 Å³ per cell
Symmetry   Amm2
Total energy   -5.109 eV per atom



[4]
This record from OQMD via LeMat-Bulk describes a relaxed GdInCoS3 crystal. The functional is PBE.

abc: 7.169 7.169 10.420
angles: 90.00 90.00 148.77
Element x y z (fractional)
1 Gd 0.000 0.000 0.000
2 Gd 0.000 0.000 0.500
3 In 0.247 0.753 0.750
4 In 0.753 0.247 0.250
5 Co 0.476 0.524 0.250
6 Co 0.524 0.476 0.750
7 S 0.067 0.933 0.250
8 S 0.373 0.627 0.081
9 S 0.373 0.627 0.419
10 S 0.627 0.373 0.581
11 S 0.627 0.373 0.919
12 S 0.933 0.067 0.750

Computed properties:
Density   5.1 g/cm3
V   277.7 Å³ per cell
Symmetry   Cmcm
Total energy   -5.422 eV per atom



[5]
This record from OQMD via LeMat-Bulk describes a relaxed TbGd2In3Co3 crystal. The functional is PBE.

abc: 3.870 7.380 7.380
angles: 120.06 90.00 90.00
Element x y z (fractional)
1 Tb 0.000 0.000 0.000
2 Gd 0.000 0.180 0.590
3 Gd 0.000 0.590 0.180
4 In 0.500 0.338 0.338
5 In 0.500 0.591 0.842
6 In 0.500 0.842 0.591
7 Co 0.000 0.590 0.590
8 Co 0.500 0.256 0.924
9 Co 0.500 0.924 0.256

Computed properties:
Density   9.1 g/cm3
V   182.4 Å³ per cell
Symmetry   Amm2
Total energy   -5.117 eV per atom



[6]
This record from OQMD via LeMat-Bulk describes a relaxed GdTmInCo2 crystal. The functional is PBE.

abc: 3.877 3.802 13.707
angles: 90.00 90.00 90.00
Element x y z (fractional)
1 Gd 0.000 0.000 0.000
2 Gd 0.000 0.500 0.500
3 Tm 0.000 0.000 0.721
4 Tm 0.000 0.500 0.221
5 In 0.500 0.000 0.359
6 In 0.500 0.500 0.859
7 Co 0.500 0.000 0.156
8 Co 0.500 0.000 0.569
9 Co 0.500 0.500 0.069
10 Co 0.500 0.500 0.656

Computed properties:
Density   9.2 g/cm3
V   202.1 Å³ per cell
Symmetry   Amm2
Total energy   -5.557 eV per atom



Question: V of number 5 (TbGd2In3Co3)?
Answer: 182.4 Å³ per cell